A relaxed structure of AgRuSe. Source: Alexandria via LeMat-Bulk, functional PBE-GGA.

Results
Fermi-level density of states: 3.0 states/eV/cell
Raw formation energy: 127.8 kJ/mol of formula units

Cell: 7.6129 7.3423 2.9456 Å, 83.86 73.52 22.62°
Atoms (fractional coordinates):
Ru 0.6789 0.6789 0.3211
Ag 0.0140 0.0140 0.9860
Se 0.3071 0.3071 0.6929